{"formula": "AcHoTlZn", "functional": "GGA-PBE", "state": "relaxed", "lattice_angstrom": [[-5.3313, -1.1461, 0.6153], [-1.6311, -5.1985, 0.6561], [-1.9005, -1.6863, 4.8641]], "species": ["Zn", "Ac", "Tl", "Ho"], "fractional_positions": [[0.0000, 0.0000, 0.0000], [0.2500, 0.2500, 0.2500], [0.5000, 0.5000, 0.5000], [0.7500, 0.7500, 0.7500]], "e_form_mev_per_atom": -257, "final_energy_ev_per_cell": -13.355, "m_tot_mub_per_cell": 0.001, "mass_density_g_cm3": 9.40}

{"formula": "AcHo9Tm2", "functional": "GGA-PBE", "state": "relaxed", "lattice_angstrom": [[5.0248, 0.0000, 0.0000], [0.0000, 5.0248, 0.0000], [0.0000, 0.0000, 15.1149]], "species": ["Ac", "Ho", "Ho", "Ho", "Ho", "Ho", "Ho", "Ho", "Ho", "Ho", "Tm", "Tm"], "fractional_positions": [[0.0000, 0.0000, 0.0000], [0.5000, 0.5000, 0.0000], [0.5000, 0.5000, 0.3380], [0.5000, 0.5000, 0.6620], [0.5000, 0.0000, 0.1749], [0.5000, 0.0000, 0.5000], [0.5000, 0.0000, 0.8251], [0.0000, 0.5000, 0.1749], [0.0000, 0.5000, 0.5000], [0.0000, 0.5000, 0.8251], [0.0000, 0.0000, 0.3365], [0.0000, 0.0000, 0.6635]], "e_form_mev_per_atom": 41, "final_energy_ev_per_cell": -53.755, "m_tot_mub_per_cell": 0.000, "mass_density_g_cm3": 8.92}

{"formula": "AcHo3Tm4", "functional": "GGA-PBE", "state": "relaxed", "lattice_angstrom": [[0.0490, -3.1316, -1.6117], [7.8915, -2.8904, -5.7037], [4.6264, -1.7340, 7.3476]], "species": ["Ac", "Tm", "Tm", "Tm", "Tm", "Ho", "Ho", "Ho"], "fractional_positions": [[0.5000, 0.0000, 0.0000], [0.6192, 0.1211, 0.6023], [0.3808, 0.8789, 0.3977], [0.3433, 0.3975, 0.8789], [0.6567, 0.6025, 0.1211], [0.7384, 0.2617, 0.2616], [0.2616, 0.7383, 0.7384], [0.0000, 0.5000, 0.5000]], "e_form_mev_per_atom": 133, "final_energy_ev_per_cell": -34.662, "m_tot_mub_per_cell": 0.000, "mass_density_g_cm3": 8.82}

{"formula": "AcHo3Tm7", "functional": "GGA-PBE", "state": "relaxed", "lattice_angstrom": [[-1.8300, 4.1970, 7.5897], [-6.6146, -7.2030, -0.4169], [4.0276, -3.6358, -1.0381]], "species": ["Ac", "Ho", "Ho", "Ho", "Tm", "Tm", "Tm", "Tm", "Tm", "Tm", "Tm"], "fractional_positions": [[0.5000, 0.5000, 0.5000], [0.2256, 0.0089, 0.7257], [0.0000, 0.5000, 0.0000], [0.7744, 0.9911, 0.2743], [0.9388, 0.8334, 0.9388], [0.8317, 0.6450, 0.3316], [0.6498, 0.2885, 0.1498], [0.3502, 0.7115, 0.8502], [0.5000, 0.0000, 0.5000], [0.1683, 0.3550, 0.6684], [0.0612, 0.1666, 0.0612]], "e_form_mev_per_atom": 163, "final_energy_ev_per_cell": -47.345, "m_tot_mub_per_cell": 0.000, "mass_density_g_cm3": 8.88, "polymorph_energy_mev_per_atom": 0}

{"formula": "AcHo8Tm6", "functional": "GGA-PBE", "state": "relaxed", "lattice_angstrom": [[8.9512, 0.0000, 0.0000], [4.4756, 7.7519, 0.0000], [4.4756, 2.5840, 6.8924]], "species": ["Ac", "Ho", "Ho", "Ho", "Ho", "Ho", "Ho", "Ho", "Ho", "Tm", "Tm", "Tm", "Tm", "Tm", "Tm"], "fractional_positions": [[0.0000, 0.0000, 0.0000], [0.2556, 0.2825, 0.5731], [0.7175, 0.1112, 0.4269], [0.1112, 0.7444, 0.4269], [0.5770, 0.5770, 0.2691], [0.4230, 0.4230, 0.7309], [0.8888, 0.2556, 0.5731], [0.2825, 0.8888, 0.5731], [0.7444, 0.7175, 0.4269], [0.4683, 0.8989, 0.8769], [0.1011, 0.2442, 0.1231], [0.2442, 0.5317, 0.1231], [0.7558, 0.4683, 0.8769], [0.8989, 0.7558, 0.8769], [0.5317, 0.1011, 0.1231]], "e_form_mev_per_atom": 158, "final_energy_ev_per_cell": -65.194, "m_tot_mub_per_cell": 0.000, "mass_density_g_cm3": 8.89, "polymorph_energy_mev_per_atom": 0}

{"formula": "AcHo6Tm", "functional": "GGA-PBE", "state": "relaxed", "lattice_angstrom": [[5.0605, 0.0000, 0.0000], [0.0000, 5.0605, 0.0000], [0.0000, 0.0000, 10.1178]], "species": ["Ac", "Ho", "Ho", "Ho", "Ho", "Ho", "Ho", "Tm"], "fractional_positions": [[0.0000, 0.0000, 0.0000], [0.5000, 0.5000, 0.0000], [0.5000, 0.5000, 0.5000], [0.5000, 0.0000, 0.2597], [0.5000, 0.0000, 0.7403], [0.0000, 0.5000, 0.2597], [0.0000, 0.5000, 0.7403], [0.0000, 0.0000, 0.5000]], "e_form_mev_per_atom": 49, "final_energy_ev_per_cell": -35.653, "m_tot_mub_per_cell": 0.001, "mass_density_g_cm3": 8.88, "polymorph_energy_mev_per_atom": 0}

{"formula": "AcHo7Tm2", "functional": "GGA-PBE", "state": "relaxed", "lattice_angstrom": [[5.7290, 0.0000, 0.0000], [0.0000, 9.0168, -0.3926], [0.0000, -4.4184, 7.8699]], "species": ["Ac", "Ho", "Ho", "Ho", "Ho", "Ho", "Ho", "Ho", "Tm", "Tm"], "fractional_positions": [[0.0000, 0.0000, 0.0000], [0.0000, 0.7700, 0.2299], [0.0000, 0.2300, 0.7701], [0.5000, 0.0574, 0.2988], [0.5000, 0.9426, 0.7012], [0.5000, 0.2988, 0.0574], [0.5000, 0.7012, 0.9426], [0.5000, 0.5000, 0.5000], [0.5000, 0.7028, 0.2972], [0.5000, 0.2972, 0.7028]], "e_form_mev_per_atom": 686, "final_energy_ev_per_cell": -38.233, "m_tot_mub_per_cell": 0.000, "mass_density_g_cm3": 7.20, "polymorph_energy_mev_per_atom": 630}

{"formula": "AcHo8Tm3", "functional": "GGA-PBE", "state": "relaxed", "lattice_angstrom": [[-8.1650, 0.3668, 2.1070], [6.3849, -5.3906, 1.1902], [3.0502, 6.0989, 4.9829]], "species": ["Ac", "Ho", "Ho", "Ho", "Ho", "Ho", "Ho", "Ho", "Ho", "Tm", "Tm", "Tm"], "fractional_positions": [[0.8360, 0.8360, 0.0000], [0.5021, 0.3319, 0.1703], [0.4971, 0.8343, 0.6628], [0.1715, 0.8343, 0.3372], [0.1617, 0.3319, 0.8297], [0.1689, 0.2563, 0.4229], [0.8334, 0.2561, 0.0873], [0.1688, 0.7461, 0.9127], [0.8334, 0.7460, 0.5771], [0.4977, 0.7509, 0.2532], [0.4977, 0.2445, 0.7468], [0.8318, 0.3318, 0.5000]], "e_form_mev_per_atom": 22, "final_energy_ev_per_cell": -53.878, "m_tot_mub_per_cell": 0.001, "mass_density_g_cm3": 8.86}

{"formula": "AcHo14Tm", "functional": "GGA-PBE", "state": "relaxed", "lattice_angstrom": [[-3.9875, 5.9979, -0.7879], [1.2315, -2.6912, 6.6134], [9.3084, 6.2973, 0.8291]], "species": ["Ac", "Ho", "Ho", "Ho", "Ho", "Ho", "Ho", "Ho", "Ho", "Ho", "Ho", "Ho", "Ho", "Ho", "Ho", "Tm"], "fractional_positions": [[0.1670, 0.8330, 0.0000], [0.6668, 0.3332, 0.5000], [0.1666, 0.8334, 0.5000], [0.1690, 0.3349, 0.0000], [0.1667, 0.3332, 0.5000], [0.6651, 0.8310, 0.0000], [0.6668, 0.8333, 0.5000], [0.3350, 0.1696, 0.7456], [0.3350, 0.1696, 0.2544], [0.8304, 0.6650, 0.7456], [0.8304, 0.6650, 0.2544], [0.8332, 0.1668, 0.7504], [0.8332, 0.1668, 0.2496], [0.3346, 0.6654, 0.7450], [0.3346, 0.6654, 0.2550], [0.6657, 0.3343, 0.0000]], "e_form_mev_per_atom": 16, "final_energy_ev_per_cell": -72.406, "m_tot_mub_per_cell": 0.001, "mass_density_g_cm3": 8.77}

{"formula": "AcHo6Tm", "functional": "GGA-PBE", "state": "relaxed", "lattice_angstrom": [[-5.8737, 1.8090, 2.8031], [1.7211, -1.4501, 6.3104], [-0.7178, 6.2566, 2.5468]], "species": ["Ac", "Ho", "Ho", "Ho", "Ho", "Ho", "Ho", "Tm"], "fractional_positions": [[0.0000, 0.0000, 0.0000], [0.0488, 0.7390, 0.5217], [0.5485, 0.7208, 0.5439], [0.4515, 0.2792, 0.4561], [0.9512, 0.2610, 0.4783], [0.5235, 0.7375, 0.0425], [0.4765, 0.2625, 0.9575], [0.0000, 0.5000, 0.0000]], "e_form_mev_per_atom": 223, "final_energy_ev_per_cell": -34.264, "m_tot_mub_per_cell": 0.000, "mass_density_g_cm3": 8.69, "polymorph_energy_mev_per_atom": 174}

{"formula": "AcHo6Tm2", "functional": "GGA-PBE", "state": "relaxed", "lattice_angstrom": [[6.8247, 0.0000, 0.0000], [3.4123, 5.9103, 0.0000], [3.4123, 1.9701, 8.4011]], "species": ["Ac", "Ho", "Ho", "Ho", "Ho", "Ho", "Ho", "Tm", "Tm"], "fractional_positions": [[0.3343, 0.3343, 0.9972], [0.7748, 0.2877, 0.6501], [0.2874, 0.7748, 0.6501], [0.2877, 0.2874, 0.6501], [0.0497, 0.5548, 0.3462], [0.0494, 0.0497, 0.3462], [0.5548, 0.0494, 0.3462], [0.7549, 0.7549, 0.7353], [0.5729, 0.5729, 0.2813]], "e_form_mev_per_atom": 403, "final_energy_ev_per_cell": -36.894, "m_tot_mub_per_cell": 0.002, "mass_density_g_cm3": 7.62, "polymorph_energy_mev_per_atom": 323}

{"formula": "Ac8Ho2Tm", "functional": "GGA-PBE", "state": "relaxed", "lattice_angstrom": [[5.5210, 0.0000, -1.6764], [-1.1871, 8.7930, -3.9095], [0.0046, -0.9217, 9.9444]], "species": ["Ac", "Ac", "Ac", "Ac", "Ac", "Ac", "Ac", "Ac", "Tm", "Ho", "Ho"], "fractional_positions": [[0.6577, 0.8717, 0.3154], [0.3423, 0.5563, 0.6846], [0.1459, 0.1459, 0.2918], [0.0000, 0.3085, 0.0000], [0.8541, 0.8541, 0.7082], [0.6577, 0.4437, 0.3154], [0.3423, 0.1283, 0.6846], [0.0000, 0.6915, 0.0000], [0.5000, 0.0000, 0.0000], [0.2029, 0.7029, 0.4057], [0.7971, 0.2971, 0.5943]], "e_form_mev_per_atom": 143, "final_energy_ev_per_cell": -44.920, "m_tot_mub_per_cell": 0.000, "mass_density_g_cm3": 8.34}

{"formula": "AcHo6Tm8", "functional": "GGA-PBE", "state": "relaxed", "lattice_angstrom": [[-4.0134, 3.9499, -2.8547], [6.5877, 1.9697, -6.5363], [-6.0640, -7.1630, -1.3856]], "species": ["Ac", "Ho", "Ho", "Ho", "Ho", "Ho", "Ho", "Tm", "Tm", "Tm", "Tm", "Tm", "Tm", "Tm", "Tm"], "fractional_positions": [[0.5000, 0.0000, 0.0000], [0.5821, 0.6836, 0.1147], [0.5821, 0.8853, 0.5689], [0.5821, 0.4311, 0.3164], [0.4179, 0.3164, 0.8853], [0.4179, 0.1147, 0.4311], [0.4179, 0.5689, 0.6836], [0.9175, 0.9766, 0.3167], [0.9175, 0.6833, 0.6599], [0.9175, 0.3401, 0.0234], [0.0825, 0.0234, 0.6833], [0.0825, 0.3167, 0.3401], [0.0825, 0.6599, 0.9766], [0.8560, 0.3333, 0.6667], [0.1440, 0.6667, 0.3333]], "e_form_mev_per_atom": 218, "final_energy_ev_per_cell": -64.075, "m_tot_mub_per_cell": 0.005, "mass_density_g_cm3": 8.67}

{"formula": "AcHo12Tm5", "functional": "GGA-PBE", "state": "relaxed", "lattice_angstrom": [[11.2431, 0.0000, -0.0364], [5.6216, 8.5886, -0.0182], [-0.0266, 0.0000, 5.9106]], "species": ["Ac", "Ho", "Ho", "Ho", "Ho", "Ho", "Ho", "Ho", "Ho", "Ho", "Ho", "Ho", "Ho", "Tm", "Tm", "Tm", "Tm", "Tm"], "fractional_positions": [[0.0000, 0.0000, 0.0000], [0.8151, 0.0000, 0.4643], [0.1849, 0.0000, 0.5357], [0.6601, 0.0000, 0.9633], [0.3399, 0.0000, 0.0367], [0.3499, 0.6645, 0.9480], [0.9857, 0.6645, 0.0520], [0.0143, 0.3355, 0.9480], [0.6501, 0.3355, 0.0520], [0.5002, 0.3374, 0.5477], [0.8376, 0.6626, 0.5477], [0.1624, 0.3374, 0.4523], [0.4998, 0.6626, 0.4523], [0.5000, 0.0000, 0.5000], [0.1643, 0.6714, 0.5000], [0.8357, 0.3286, 0.5000], [0.6742, 0.6515, 0.0000], [0.3258, 0.3485, 0.0000]], "e_form_mev_per_atom": 133, "final_energy_ev_per_cell": -78.997, "m_tot_mub_per_cell": 0.000, "mass_density_g_cm3": 8.88}

{"formula": "AcHo4Tm8", "functional": "GGA-PBE", "state": "relaxed", "lattice_angstrom": [[5.9587, 0.6614, -1.1516], [-3.1174, 4.8805, -1.9318], [1.8138, 1.5599, 12.3059]], "species": ["Ac", "Ho", "Ho", "Ho", "Ho", "Tm", "Tm", "Tm", "Tm", "Tm", "Tm", "Tm", "Tm"], "fractional_positions": [[0.0000, 0.5000, 0.5000], [0.2569, 0.2569, 0.0000], [0.7431, 0.7431, 0.0000], [0.2857, 0.8608, 0.1465], [0.7143, 0.1392, 0.8535], [0.8259, 0.9361, 0.2877], [0.3516, 0.4619, 0.2877], [0.8051, 0.3467, 0.1517], [0.3476, 0.0907, 0.4383], [0.6524, 0.9093, 0.5617], [0.1949, 0.6533, 0.8483], [0.6484, 0.5381, 0.7123], [0.1741, 0.0639, 0.7123]], "e_form_mev_per_atom": 111, "final_energy_ev_per_cell": -56.750, "m_tot_mub_per_cell": 0.000, "mass_density_g_cm3": 8.96}

{"formula": "AcHo2Tm7", "functional": "GGA-PBE", "state": "relaxed", "lattice_angstrom": [[5.0931, -1.5664, 0.8976], [-2.7518, 7.5609, -3.7555], [1.1763, -0.1343, 9.3532]], "species": ["Ac", "Ho", "Ho", "Tm", "Tm", "Tm", "Tm", "Tm", "Tm", "Tm"], "fractional_positions": [[0.0000, 0.0000, 0.0000], [0.4998, 0.7001, 0.3994], [0.5002, 0.2999, 0.6006], [0.9988, 0.7954, 0.5919], [0.0012, 0.2046, 0.4081], [0.2445, 0.6327, 0.7759], [0.7555, 0.3673, 0.2241], [0.2449, 0.8571, 0.2244], [0.7551, 0.1429, 0.7756], [0.5000, 0.5000, 0.0000]], "e_form_mev_per_atom": 59, "final_energy_ev_per_cell": -43.975, "m_tot_mub_per_cell": 0.000, "mass_density_g_cm3": 9.12}

{"formula": "AcHoTm14", "functional": "GGA-PBE", "state": "relaxed", "lattice_angstrom": [[-2.2692, -1.7920, -6.5707], [-1.7611, -4.0798, 5.6381], [-9.2293, 6.0926, 1.5258]], "species": ["Ac", "Ho", "Tm", "Tm", "Tm", "Tm", "Tm", "Tm", "Tm", "Tm", "Tm", "Tm", "Tm", "Tm", "Tm", "Tm"], "fractional_positions": [[0.1660, 0.8340, 0.0000], [0.6655, 0.3345, 0.0000], [0.6669, 0.3331, 0.5000], [0.1669, 0.8331, 0.5000], [0.1684, 0.3343, 0.0000], [0.1666, 0.3334, 0.5000], [0.6657, 0.8316, 0.0000], [0.6666, 0.8334, 0.5000], [0.3347, 0.1694, 0.7441], [0.3347, 0.1694, 0.2559], [0.8306, 0.6653, 0.7441], [0.8306, 0.6653, 0.2559], [0.8335, 0.1665, 0.7493], [0.8335, 0.1665, 0.2507], [0.3348, 0.6652, 0.7448], [0.3348, 0.6652, 0.2552]], "e_form_mev_per_atom": 12, "final_energy_ev_per_cell": -71.088, "m_tot_mub_per_cell": 0.000, "mass_density_g_cm3": 9.19}

{"formula": "AcHoTm2", "functional": "GGA-PBE", "state": "relaxed", "lattice_angstrom": [[3.4825, 0.0000, -0.8954], [-0.2297, 5.3893, -0.8935], [1.6933, 2.3504, 13.7468]], "species": ["Ac", "Ac", "Ho", "Ho", "Tm", "Tm", "Tm", "Tm"], "fractional_positions": [[0.5831, 0.6778, 0.8769], [0.4987, 0.1779, 0.7090], [0.7708, 0.1777, 0.2520], [0.3110, 0.6779, 0.3338], [0.9274, 0.6780, 0.5665], [0.7037, 0.6776, 0.1179], [0.1543, 0.1776, 0.0193], [0.3780, 0.1780, 0.4679]], "e_form_mev_per_atom": 98, "final_energy_ev_per_cell": -34.474, "m_tot_mub_per_cell": 0.000, "mass_density_g_cm3": 8.85, "polymorph_energy_mev_per_atom": 42}

{"formula": "AcHo6Tm5", "functional": "GGA-PBE", "state": "relaxed", "lattice_angstrom": [[4.9224, 0.0012, 0.8669], [2.4630, 7.5366, 0.4337], [-1.7421, 0.0000, 9.8988]], "species": ["Ac", "Tm", "Tm", "Tm", "Tm", "Tm", "Ho", "Ho", "Ho", "Ho", "Ho", "Ho"], "fractional_positions": [[0.0000, 0.0000, 0.0000], [0.3327, 0.3347, 0.5000], [0.6714, 0.6574, 0.0000], [0.0000, 0.0000, 0.5000], [0.3286, 0.3426, 0.0000], [0.6673, 0.6653, 0.5000], [0.1680, 0.6637, 0.2549], [0.1680, 0.6637, 0.7451], [0.5000, 0.0000, 0.7409], [0.5000, 0.0000, 0.2591], [0.8320, 0.3363, 0.2549], [0.8320, 0.3363, 0.7451]], "e_form_mev_per_atom": 42, "final_energy_ev_per_cell": -53.434, "m_tot_mub_per_cell": 0.000, "mass_density_g_cm3": 9.04}

{"formula": "Ac6Ho2Tm", "functional": "GGA-PBE", "state": "relaxed", "lattice_angstrom": [[-3.7231, 7.5040, 5.6513], [-6.0011, -2.8015, -0.2336], [2.2521, -5.6682, 9.0102]], "species": ["Ac", "Ac", "Ac", "Ac", "Ac", "Ac", "Ac", "Ac", "Ac", "Ac", "Ac", "Ac", "Ho", "Ho", "Ho", "Ho", "Tm", "Tm"], "fractional_positions": [[0.2855, 0.3511, 0.6449], [0.3844, 0.3524, 0.2934], [0.1560, 0.3508, 0.9797], [0.6560, 0.1492, 0.5203], [0.8844, 0.1476, 0.2066], [0.7855, 0.1489, 0.8551], [0.7145, 0.6489, 0.3551], [0.6156, 0.6476, 0.7066], [0.8440, 0.6492, 0.0203], [0.3440, 0.8508, 0.4797], [0.1156, 0.8524, 0.7934], [0.2145, 0.8511, 0.1449], [0.5670, 0.9825, 0.1370], [0.0670, 0.5175, 0.3630], [0.9330, 0.4825, 0.6370], [0.4330, 0.0175, 0.8630], [0.5000, 0.5000, 0.0000], [0.0000, 0.0000, 0.5000]], "e_form_mev_per_atom": 159, "final_energy_ev_per_cell": -73.699, "m_tot_mub_per_cell": 0.000, "mass_density_g_cm3": 8.48}